Entry 1:
# Li3LaZr | the Alexandria database | SCAN | PBEsol geometry
# Density, g/cm³: 3.7
# DFT formation energy, eV per atom: 1.188
# N(E_F), states/eV per cell: 2.6
data_Li3LaZr
_chemical_formula_sum 'Li3 La1 Zr1'
_cell_length_a 4.8502
_cell_length_b 4.8502
_cell_length_c 4.8502
_cell_angle_alpha 90.00
_cell_angle_beta 90.00
_cell_angle_gamma 90.00
_symmetry_space_group_name_H-M 'P m -3 m'
_symmetry_Int_Tables_number 221
_symmetry_space_group_name_Hall '-P 4 2 3'
loop_
_atom_site_label
_atom_site_fract_x
_atom_site_fract_y
_atom_site_fract_z
Li1 0.0000 0.0000 0.5000
La1 0.0000 0.0000 0.0000
Zr1 0.5000 0.5000 0.5000

---

Entry 2:
# ScHg2IrRh | the Alexandria database | SCAN | PBEsol geometry
# Density, g/cm³: 10.5
# DFT formation energy, eV per atom: 1.262
# N(E_F), states/eV per cell: 3.0
data_ScHg2IrRh
_chemical_formula_sum 'Sc1 Hg2 Ir1 Rh1'
_cell_length_a 5.0950
_cell_length_b 5.0950
_cell_length_c 4.5333
_cell_angle_alpha 90.00
_cell_angle_beta 90.00
_cell_angle_gamma 90.00
_symmetry_space_group_name_H-M 'P 4/m m m'
_symmetry_Int_Tables_number 123
_symmetry_space_group_name_Hall '-P 4 2'
loop_
_atom_site_label
_atom_site_fract_x
_atom_site_fract_y
_atom_site_fract_z
Sc1 0.0000 0.0000 0.0000
Hg1 0.0000 0.5000 0.0000
Ir1 0.0000 0.0000 0.5000
Rh1 0.5000 0.5000 0.5000

---

Entry 3:
# PmYIr2 | the Alexandria database | SCAN | PBEsol geometry
# Density, g/cm³: 12.8
# DFT formation energy, eV per atom: -0.845
# N(E_F), states/eV per cell: 7.5
data_PmYIr2
_chemical_formula_sum 'Pm4 Y4 Ir8'
_cell_length_a 6.8534
_cell_length_b 6.8534
_cell_length_c 6.8534
_cell_angle_alpha 90.00
_cell_angle_beta 90.00
_cell_angle_gamma 90.00
_symmetry_space_group_name_H-M 'F m -3 m'
_symmetry_Int_Tables_number 225
_symmetry_space_group_name_Hall '-F 4 2 3'
loop_
_atom_site_label
_atom_site_fract_x
_atom_site_fract_y
_atom_site_fract_z
Pm1 0.0000 0.0000 0.0000
Y1 0.0000 0.0000 0.5000
Ir1 0.2500 0.2500 0.2500

---

Entry 4:
# ZrFeP3PbO12 | the Alexandria database | SCAN | PBEsol geometry
# Density, g/cm³: 4.2
# Uncorrected formation energy, eV/atom: -2.535
# N(E_F), states/eV per cell: 0.0
data_ZrFeP3PbO12
_chemical_formula_sum 'Zr6 Fe6 P18 Pb6 O72'
_cell_length_a 8.7174
_cell_length_b 8.7174
_cell_length_c 23.2215
_cell_angle_alpha 90.00
_cell_angle_beta 90.00
_cell_angle_gamma 120.00
_symmetry_space_group_name_H-M 'R 3 c'
_symmetry_Int_Tables_number 161
_symmetry_space_group_name_Hall 'R 3 -2"c'
loop_
_atom_site_label
_atom_site_fract_x
_atom_site_fract_y
_atom_site_fract_z
Zr1 0.0000 0.0000 0.0000
Fe1 0.0000 0.0000 0.3007
P1 0.0111 0.2932 0.3950
Pb1 0.0000 0.0000 0.1590
O1 0.0185 0.1985 0.0540
O2 0.0405 0.2091 0.3410
O3 0.1508 0.4648 0.1163
O4 0.1776 0.4783 0.4028

---

Entry 5:
# RbGe2AuS | the Alexandria database | SCAN | PBEsol geometry
# Density, g/cm³: 4.6
# Uncorrected formation energy, eV/atom: 1.952
# N(E_F), states/eV per cell: 4.7
data_RbGe2AuS
_chemical_formula_sum 'Rb1 Ge2 Au1 S1'
_cell_length_a 5.6268
_cell_length_b 5.6268
_cell_length_c 5.2996
_cell_angle_alpha 90.00
_cell_angle_beta 90.00
_cell_angle_gamma 90.00
_symmetry_space_group_name_H-M 'P 4/m m m'
_symmetry_Int_Tables_number 123
_symmetry_space_group_name_Hall '-P 4 2'
loop_
_atom_site_label
_atom_site_fract_x
_atom_site_fract_y
_atom_site_fract_z
Rb1 0.0000 0.0000 0.0000
Ge1 0.0000 0.5000 0.0000
Au1 0.0000 0.0000 0.5000
S1 0.5000 0.5000 0.5000

---

Entry 6:
# Re3AsPd | the Alexandria database | SCAN | PBEsol geometry
# Density, g/cm³: 13.9
# DFT formation energy, eV per atom: 1.780
# N(E_F), states/eV per cell: 4.9
data_Re3AsPd
_chemical_formula_sum 'Re3 As1 Pd1'
_cell_length_a 4.4579
_cell_length_b 4.4579
_cell_length_c 4.4579
_cell_angle_alpha 90.00
_cell_angle_beta 90.00
_cell_angle_gamma 90.00
_symmetry_space_group_name_H-M 'P m -3 m'
_symmetry_Int_Tables_number 221
_symmetry_space_group_name_Hall '-P 4 2 3'
loop_
_atom_site_label
_atom_site_fract_x
_atom_site_fract_y
_atom_site_fract_z
Re1 0.0000 0.0000 0.5000
As1 0.0000 0.0000 0.0000
Pd1 0.5000 0.5000 0.5000

---

Entry 7:
# BeTlAs2 | the Alexandria database | SCAN | PBEsol geometry
# Density, g/cm³: 7.9
# Excess energy over the best structure of this formula in the dataset, eV/atom: 0.367
# DFT formation energy, eV per atom: 0.752
# N(E_F), states/eV per cell: 8.5
data_BeTlAs2
_chemical_formula_sum 'Be4 Tl4 As8'
_cell_length_a 6.7394
_cell_length_b 6.7394
_cell_length_c 6.7394
_cell_angle_alpha 90.00
_cell_angle_beta 90.00
_cell_angle_gamma 90.00
_symmetry_space_group_name_H-M 'F m -3 m'
_symmetry_Int_Tables_number 225
_symmetry_space_group_name_Hall '-F 4 2 3'
loop_
_atom_site_label
_atom_site_fract_x
_atom_site_fract_y
_atom_site_fract_z
Be1 0.0000 0.0000 0.0000
Tl1 0.0000 0.0000 0.5000
As1 0.2500 0.2500 0.2500

---

Entry 8:
# Na2BiSeI | the Alexandria database | SCAN | PBEsol geometry
# Density, g/cm³: 4.5
# Uncorrected formation energy, eV/atom: -0.018
# N(E_F), states/eV per cell: 4.3
data_Na2BiSeI
_chemical_formula_sum 'Na2 Bi1 Se1 I1'
_cell_length_a 5.5185
_cell_length_b 5.5185
_cell_length_c 5.6342
_cell_angle_alpha 90.00
_cell_angle_beta 90.00
_cell_angle_gamma 90.00
_symmetry_space_group_name_H-M 'P 4/m m m'
_symmetry_Int_Tables_number 123
_symmetry_space_group_name_Hall '-P 4 2'
loop_
_atom_site_label
_atom_site_fract_x
_atom_site_fract_y
_atom_site_fract_z
Na1 0.0000 0.5000 0.0000
Bi1 0.0000 0.0000 0.5000
Se1 0.5000 0.5000 0.5000
I1 0.5000 0.5000 0.0000

---

Entry 9:
# InFe2Ag | the Alexandria database | SCAN | PBEsol geometry
# Density, g/cm³: 9.4
# DFT formation energy, eV per atom: 0.217
# N(E_F), states/eV per cell: 5.0
data_InFe2Ag
_chemical_formula_sum 'In2 Fe4 Ag2'
_cell_length_a 3.8248
_cell_length_b 3.8248
_cell_length_c 8.0622
_cell_angle_alpha 90.00
_cell_angle_beta 90.00
_cell_angle_gamma 90.00
_symmetry_space_group_name_H-M 'I 4/m m m'
_symmetry_Int_Tables_number 139
_symmetry_space_group_name_Hall '-I 4 2'
loop_
_atom_site_label
_atom_site_fract_x
_atom_site_fract_y
_atom_site_fract_z
In1 0.0000 0.0000 0.0000
Fe1 0.0000 0.5000 0.2500
Ag1 0.0000 0.0000 0.5000

---

Entry 10:
# YIn2Cl | the Alexandria database | SCAN | PBEsol geometry
# Density, g/cm³: 5.8
# Uncorrected formation energy, eV/atom: -0.853
# Excess energy over the best structure of this formula in the dataset, eV/atom: 0.000
# N(E_F), states/eV per cell: 1.9
data_YIn2Cl
_chemical_formula_sum 'Y1 In2 Cl1'
_cell_length_a 3.3278
_cell_length_b 3.3278
_cell_length_c 9.2246
_cell_angle_alpha 90.00
_cell_angle_beta 90.00
_cell_angle_gamma 90.00
_symmetry_space_group_name_H-M 'P 4 m m'
_symmetry_Int_Tables_number 99
_symmetry_space_group_name_Hall 'P 4 -2'
loop_
_atom_site_label
_atom_site_fract_x
_atom_site_fract_y
_atom_site_fract_z
Y1 0.0000 0.0000 0.0000
In1 0.0000 0.0000 0.5106
In2 0.5000 0.5000 0.7594
Cl1 0.5000 0.5000 0.1652

---

Entry 11:
# AgOs2Pt | the Alexandria database | SCAN | PBEsol geometry
# Density, g/cm³: 19.4
# DFT formation energy, eV per atom: 0.521
# N(E_F), states/eV per cell: 4.0
data_AgOs2Pt
_chemical_formula_sum 'Ag1 Os2 Pt1'
_cell_length_a 4.7555
_cell_length_b 2.7112
_cell_length_c 4.8139
_cell_angle_alpha 90.00
_cell_angle_beta 109.25
_cell_angle_gamma 90.00
_symmetry_space_group_name_H-M 'P 1 2/m 1'
_symmetry_Int_Tables_number 10
_symmetry_space_group_name_Hall '-P 2y'
loop_
_atom_site_label
_atom_site_fract_x
_atom_site_fract_y
_atom_site_fract_z
Ag1 0.0000 0.0000 0.0000
Os1 0.0000 0.5000 0.5000
Os2 0.5000 0.0000 0.5000
Pt1 0.5000 0.5000 0.0000

---

Entry 12:
# CoMoCl2 | the Alexandria database | SCAN | PBEsol geometry
# Density, g/cm³: 6.2
# Uncorrected formation energy, eV/atom: 0.241
# Excess energy over the best structure of this formula in the dataset, eV/atom: 0.000
# N(E_F), states/eV per cell: 5.3
data_CoMoCl2
_chemical_formula_sum 'Co3 Mo3 Cl6'
_cell_length_a 3.0000
_cell_length_b 3.0000
_cell_length_c 23.0980
_cell_angle_alpha 90.00
_cell_angle_beta 90.00
_cell_angle_gamma 120.00
_symmetry_space_group_name_H-M 'R -3 m'
_symmetry_Int_Tables_number 166
_symmetry_space_group_name_Hall '-R 3 2"'
loop_
_atom_site_label
_atom_site_fract_x
_atom_site_fract_y
_atom_site_fract_z
Co1 0.0000 0.0000 0.0000
Mo1 0.0000 0.0000 0.5000
Cl1 0.0000 0.0000 0.0911

---

Entry 13:
# SrBePt2 | the Alexandria database | SCAN | PBEsol geometry
# Density, g/cm³: 11.6
# DFT formation energy, eV per atom: -0.134
# N(E_F), states/eV per cell: 2.6
data_SrBePt2
_chemical_formula_sum 'Sr2 Be2 Pt4'
_cell_length_a 4.2666
_cell_length_b 4.2666
_cell_length_c 7.6378
_cell_angle_alpha 90.00
_cell_angle_beta 90.00
_cell_angle_gamma 90.00
_symmetry_space_group_name_H-M 'I 4/m m m'
_symmetry_Int_Tables_number 139
_symmetry_space_group_name_Hall '-I 4 2'
loop_
_atom_site_label
_atom_site_fract_x
_atom_site_fract_y
_atom_site_fract_z
Sr1 0.0000 0.0000 0.0000
Be1 0.0000 0.0000 0.5000
Pt1 0.0000 0.5000 0.2500

---

Entry 14:
# YTiGe | the Alexandria database | SCAN | PBEsol geometry
# Density, g/cm³: 5.7
# DFT formation energy, eV per atom: -0.809
# N(E_F), states/eV per cell: 2.6
data_YTiGe
_chemical_formula_sum 'Y2 Ti2 Ge2'
_cell_length_a 4.0077
_cell_length_b 4.0077
_cell_length_c 7.5852
_cell_angle_alpha 90.00
_cell_angle_beta 90.00
_cell_angle_gamma 90.00
_symmetry_space_group_name_H-M 'P 4/n m m'
_symmetry_Int_Tables_number 129
loop_
_symmetry_equiv_pos_as_xyz
'x,y,z'
'-x,-y,-z'
'-y+1/2,x,z'
'y+1/2,-x,-z'
'-x+1/2,-y+1/2,z'
'x+1/2,y+1/2,-z'
'y,-x+1/2,z'
'-y,x+1/2,-z'
'x+1/2,-y,-z'
'-x+1/2,y,z'
'-y,-x,-z'
'y,x,z'
'-x,y+1/2,-z'
'x,-y+1/2,z'
'y+1/2,x+1/2,-z'
'-y+1/2,-x+1/2,z'
loop_
_atom_site_label
_atom_site_fract_x
_atom_site_fract_y
_atom_site_fract_z
Y1 0.2500 0.2500 0.1565
Ti1 0.2500 0.7500 0.5000
Ge1 0.2500 0.2500 0.7431

---

Entry 15:
# Nb2FeCoSi | the Alexandria database | SCAN | PBEsol geometry
# Density, g/cm³: 6.5
# Uncorrected formation energy, eV/atom: 0.743
# N(E_F), states/eV per cell: 3.9
data_Nb2FeCoSi
_chemical_formula_sum 'Nb2 Fe1 Co1 Si1'
_cell_length_a 4.4687
_cell_length_b 4.4687
_cell_length_c 4.2106
_cell_angle_alpha 90.00
_cell_angle_beta 90.00
_cell_angle_gamma 90.00
_symmetry_space_group_name_H-M 'P 4/m m m'
_symmetry_Int_Tables_number 123
_symmetry_space_group_name_Hall '-P 4 2'
loop_
_atom_site_label
_atom_site_fract_x
_atom_site_fract_y
_atom_site_fract_z
Nb1 0.0000 0.5000 0.0000
Fe1 0.0000 0.0000 0.5000
Co1 0.0000 0.0000 0.0000
Si1 0.5000 0.5000 0.5000

---

Entry 16:
# AgPb2 | the Alexandria database | SCAN | PBEsol geometry
# Density, g/cm³: 11.5
# DFT formation energy, eV per atom: 0.083
# N(E_F), states/eV per cell: 4.4
data_AgPb2
_chemical_formula_sum 'Ag4 Pb8'
_cell_length_a 7.3160
_cell_length_b 4.6078
_cell_length_c 8.9732
_cell_angle_alpha 90.00
_cell_angle_beta 90.00
_cell_angle_gamma 90.00
_symmetry_space_group_name_H-M 'P n m a'
_symmetry_Int_Tables_number 62
_symmetry_space_group_name_Hall '-P 2ac 2n'
loop_
_atom_site_label
_atom_site_fract_x
_atom_site_fract_y
_atom_site_fract_z
Ag1 0.2405 0.2500 0.1257
Pb1 0.0306 0.2500 0.8310
Pb2 0.1468 0.2500 0.4381

---

Entry 17:
# Cr3NiPd | the Alexandria database | SCAN | PBEsol geometry
# Density, g/cm³: 5.3
# DFT formation energy, eV per atom: 1.418
# N(E_F), states/eV per cell: 8.5
data_Cr3NiPd
_chemical_formula_sum 'Cr3 Ni1 Pd1'
_cell_length_a 4.6560
_cell_length_b 4.6560
_cell_length_c 4.6560
_cell_angle_alpha 90.00
_cell_angle_beta 90.00
_cell_angle_gamma 90.00
_symmetry_space_group_name_H-M 'P m -3 m'
_symmetry_Int_Tables_number 221
_symmetry_space_group_name_Hall '-P 4 2 3'
loop_
_atom_site_label
_atom_site_fract_x
_atom_site_fract_y
_atom_site_fract_z
Cr1 0.0000 0.0000 0.5000
Ni1 0.5000 0.5000 0.5000
Pd1 0.0000 0.0000 0.0000

---

Entry 18:
# CdMo2Os | the Alexandria database | SCAN | PBEsol geometry
# Density, g/cm³: 13.2
# DFT formation energy, eV per atom: 0.504
# N(E_F), states/eV per cell: 8.9
data_CdMo2Os
_chemical_formula_sum 'Cd2 Mo4 Os2'
_cell_length_a 3.8569
_cell_length_b 3.8569
_cell_length_c 8.3654
_cell_angle_alpha 90.00
_cell_angle_beta 90.00
_cell_angle_gamma 90.00
_symmetry_space_group_name_H-M 'I 4/m m m'
_symmetry_Int_Tables_number 139
_symmetry_space_group_name_Hall '-I 4 2'
loop_
_atom_site_label
_atom_site_fract_x
_atom_site_fract_y
_atom_site_fract_z
Cd1 0.0000 0.0000 0.0000
Mo1 0.0000 0.5000 0.2500
Os1 0.0000 0.0000 0.5000

---

Entry 19:
# Hf7P4 | the Alexandria database | SCAN | PBEsol geometry
# Density, g/cm³: 11.9
# DFT formation energy, eV per atom: -1.146
# N(E_F), states/eV per cell: 21.6
data_Hf7P4
_chemical_formula_sum 'Hf28 P16'
_cell_length_a 15.5665
_cell_length_b 3.4941
_cell_length_c 14.5214
_cell_angle_alpha 90.00
_cell_angle_beta 104.53
_cell_angle_gamma 90.00
_symmetry_space_group_name_H-M 'C 1 2/m 1'
_symmetry_Int_Tables_number 12
_symmetry_space_group_name_Hall '-C 2y'
loop_
_atom_site_label
_atom_site_fract_x
_atom_site_fract_y
_atom_site_fract_z
Hf1 0.0000 0.0000 0.0000
Hf2 0.0000 0.5000 0.5000
Hf3 0.0032 0.0000 0.6687
Hf4 0.0694 0.5000 0.1689
Hf5 0.1609 0.5000 0.9706
Hf6 0.1764 0.0000 0.5413
Hf7 0.1969 0.0000 0.3110
Hf8 0.2053 0.0000 0.7974
P1 0.0628 0.0000 0.8522
P2 0.1254 0.5000 0.3997
P3 0.1295 0.5000 0.6609
P4 0.1766 0.0000 0.1113

---

Entry 20:
# PdF2 | the Alexandria database | SCAN | PBEsol geometry
# Density, g/cm³: 6.6
# Uncorrected formation energy, eV/atom: -1.192
# N(E_F), states/eV per cell: 6.5
data_PdF2
_chemical_formula_sum 'Pd4 F8'
_cell_length_a 5.2609
_cell_length_b 5.2609
_cell_length_c 5.2609
_cell_angle_alpha 90.00
_cell_angle_beta 90.00
_cell_angle_gamma 90.00
_symmetry_space_group_name_H-M 'P a -3'
_symmetry_Int_Tables_number 205
_symmetry_space_group_name_Hall '-P 2ac 2ab 3'
loop_
_atom_site_label
_atom_site_fract_x
_atom_site_fract_y
_atom_site_fract_z
Pd1 0.0000 0.0000 0.0000
F1 0.1592 0.6592 0.8408

---

no.,DFT total energy (eV per cell)
1,-75.03
2,-249.13
3,-869.63
4,-1657.28
5,-127.94
6,-257.36
7,-456.34
8,-143.92
9,-200.29
10,-106.01
11,-243.24
12,-201.55
13,-335.10
14,-130.77
15,-107.99
16,-730.72
17,-97.01
18,-340.10
19,-1971.63
20,-173.72